Record 1
Here is an optimized crystal structure of Cd2SnSb2 from Alexandria via LeMat-Bulk. Energies are from GGA-PBE.

Cell and atoms, written as POSCAR:
```
Cd2SnSb2
1.0
8.7880 0.0000 0.0000
0.0000 8.7880 0.0000
0.0000 0.0000 3.5316
Sb Cd Sn
4 4 2
Cartesian
2.8221 7.2161 0.0000
1.5719 2.8221 0.0000
7.2161 5.9659 0.0000
5.9659 1.5719 0.0000
7.7061 3.3120 1.7658
1.0820 5.4760 1.7658
3.3120 1.0820 1.7658
5.4760 7.7061 1.7658
4.3940 4.3940 0.0000
0.0000 0.0000 0.0000
```

Output
- ΔE_f (raw): 104 meV/atom
- Electronic total energy: -13.6 eV per formula unit
- Calculated volume: 272.74 Å³/cell
- Spin magnetization: 0.00 Bohr magnetons per cell
- SG: P4/mbm, No. 127

=====

Record 2
Here is an optimized crystal structure of InAs2Pb from Alexandria via LeMat-Bulk. Energies are from GGA-PBE.

Cell and atoms, written as POSCAR:
```
InAs2Pb
1.0
-3.2202 -1.5203 5.3439
-5.5243 -1.7820 2.7468
-0.7200 -5.6863 1.2118
Pb As In
1 2 1
Cartesian
-2.3661 -2.2471 2.3256
-4.7860 -5.0510 4.7550
-0.6662 -5.1296 1.1080
-7.0983 -6.7414 6.9769
```

Output
- Electronic total energy: -15.3 eV per formula unit
- Calculated volume: 110.50 Å³/cell
- ΔH_f (0 K): 0.1042 eV per atom
- Spin magnetization: 0.00 Bohr magnetons per cell
- SG: C2/m, No. 12

=====

Record 3
Here is an optimized crystal structure of ZnRuSe2 from Alexandria via LeMat-Bulk. Energies are from GGA-PBE.

Cell and atoms, written as POSCAR:
```
ZnRuSe2
1.0
2.9262 0.0089 0.0000
-1.3965 2.5715 0.0000
0.0000 0.0000 10.1017
Zn Ru Se
1 1 2
Cartesian
0.7649 1.2902 2.5254
0.7649 1.2902 7.5762
0.0000 0.0000 9.6179
0.0000 0.0000 5.5345
```

Output
- ΔE_f (raw): 313 meV/atom
- Electronic total energy: -16.3 eV per formula unit
- Calculated volume: 76.14 Å³/cell
- Spin magnetization: 0.00 Bohr magnetons per cell
- SG: Cmmm, No. 65

=====

Record 4
Here is an optimized crystal structure of NdSm2Y4Tm2 from Alexandria via LeMat-Bulk. Energies are from GGA-PBE.

Cell and atoms, written as POSCAR:
```
NdSm2Y4Tm2
1.0
-2.7733 -2.0272 -1.1185
4.9131 -6.3418 5.1464
-6.0477 5.5123 5.0045
Tm Sm Y Nd
2 2 4 1
Cartesian
-3.6985 0.6222 8.0426
-0.2094 -3.4789 0.9898
-2.9926 1.4982 4.7045
-0.9153 -4.3550 4.3279
-3.1995 -1.9660 5.6617
-0.7084 -0.8907 3.3707
-3.2732 0.5489 1.2866
-0.6347 -3.4056 7.7459
0.0000 0.0000 0.0000
```

Output
- Electronic total energy: -48.9 eV per formula unit
- Calculated volume: 292.24 Å³/cell
- ΔH_f (0 K): 0.0062 eV per atom
- Spin magnetization: 0.00 Bohr magnetons per cell
- SG: C2/m, No. 12

=====

Record 5
Here is an optimized crystal structure of In4Tc from Alexandria via LeMat-Bulk. Energies are from GGA-PBE.

Cell and atoms, written as POSCAR:
```
In4Tc
1.0
-4.0413 0.5332 3.2995
-3.3423 -0.6100 -3.9950
-0.0223 -5.1814 0.8099
In Tc
4 1
Cartesian
-3.6918 -0.0384 -0.3477
-2.0318 -2.3241 2.0547
-1.6823 -2.8957 -1.5926
0.0000 0.0000 0.0000
-3.7029 -2.6291 0.0572
```

Output
- Electronic total energy: -20.0 eV per formula unit
- Calculated volume: 144.23 Å³/cell
- ΔH_f (0 K): 0.2683 eV per atom
- Spin magnetization: 0.00 Bohr magnetons per cell
- SG: Pm-3m, No. 221

=====

Record 6
Here is an optimized crystal structure of Pr3AlHg4 from Alexandria via LeMat-Bulk. Energies are from GGA-PBE.

Cell and atoms, written as POSCAR:
```
Pr3AlHg4
1.0
-0.8599 3.1053 -1.9769
-7.2816 -0.5164 2.3560
5.8231 3.2767 6.2286
Hg Al Pr
4 1 3
Cartesian
3.1165 3.6267 4.3412
-5.4348 2.2390 2.2664
-1.8860 2.4907 1.1182
-0.4323 3.3750 5.4894
-0.4299 1.5527 -0.9885
-3.6408 -0.2582 1.1780
0.7885 2.0567 2.8876
-3.1067 3.8090 3.7200
```

Output
- Electronic total energy: -21.4 eV per formula unit
- Calculated volume: 234.07 Å³/cell
- ΔH_f (0 K): -0.2682 eV per atom
- Spin magnetization: 0.00 Bohr magnetons per cell
- SG: Immm, No. 71

=====

Record 7
Here is an optimized crystal structure of NpZnTe from Alexandria via LeMat-Bulk. Energies are from GGA-PBE.

Cell and atoms, written as POSCAR:
```
NpZnTe
1.0
4.5107 0.0000 0.0000
0.0000 3.8772 0.0000
0.0000 1.9386 8.6189
Np Zn Te
2 2 2
Cartesian
1.1277 3.8772 2.0303
3.3830 1.9386 6.5886
1.1277 3.8772 8.1768
3.3830 1.9386 0.4421
1.1277 3.8772 5.4723
3.3830 1.9386 3.1466
```

Output
- ΔE_f (raw): -253 meV/atom
- Electronic total energy: -18.1 eV per formula unit
- Calculated volume: 150.74 Å³/cell
- Spin magnetization: 8.96 Bohr magnetons per cell
- SG: Cmcm, No. 63

=====

Record 8
Here is an optimized crystal structure of ScMo2Pt from Alexandria via LeMat-Bulk. Energies are from GGA-PBE.

Cell and atoms, written as POSCAR:
```
ScMo2Pt
1.0
2.7654 0.0000 0.0000
0.0000 2.7654 0.0000
0.0000 0.0000 8.7657
Pt Mo Sc
1 2 1
Cartesian
0.0000 0.0000 4.3013
1.3827 1.3827 2.3326
0.0000 0.0000 0.0604
1.3827 1.3827 6.4542
```

Output
- Electronic total energy: -34.7 eV per formula unit
- Calculated volume: 67.03 Å³/cell
- ΔH_f (0 K): -0.1655 eV per atom
- Spin magnetization: 0.00 Bohr magnetons per cell
- SG: P4mm, No. 99